Here is CrInNi2Sb after structural relaxation from Alexandria via LeMat-Bulk. Energies are from PBE.

Formation energy without anion corrections, eV per atom: 0.956
E_tot, eV/atom: -4.65

a = 4.471 Å, b = 4.471 Å, c = 5.020 Å
α = 90.00°, β = 90.00°, γ = 90.00°
Space group P4/mmm (No. 123)
Inequivalent atoms, fractional coordinates:
Cr 0.000 0.000 0.000
In 0.000 0.000 0.500
Ni 0.000 0.500 0.000
Sb 0.500 0.500 0.500

***

Here is CrInNiSn2 after structural relaxation from Alexandria via LeMat-Bulk. Energies are from PBE.

Energy of formation from the pure elements, kJ/mol of atoms: 72.59
E_tot, eV/atom: -4.48

a = 5.004 Å, b = 5.004 Å, c = 5.095 Å
α = 90.00°, β = 90.00°, γ = 90.00°
Space group P4/mmm (No. 123)
Inequivalent atoms, fractional coordinates:
Cr 0.000 0.000 0.000
In 0.000 0.000 0.500
Ni 0.500 0.500 0.500
Sn 0.000 0.500 0.000

***

Here is ZnCr2InNi after structural relaxation from Alexandria via LeMat-Bulk. Energies are from PBE.

Energy of formation from the pure elements, kJ/mol of atoms: 155.97
E_tot, eV/atom: -4.19

a = 5.096 Å, b = 5.096 Å, c = 4.808 Å
α = 90.00°, β = 90.00°, γ = 90.00°
Space group P4/mmm (No. 123)
Inequivalent atoms, fractional coordinates:
Zn 0.000 0.000 0.000
Cr 0.000 0.500 0.500
In 0.000 0.000 0.500
Ni 0.500 0.500 0.000